No. 1
A relaxed BaGdGe2 crystal, computed with PBE.

Summary:
Calculated formation energy ... -424 meV/atom

Unit cell a=4.805 b=4.805 c=6.880 alpha=69.56 beta=69.56 gamma=60.00
Sites, in units of the cell vectors:
Gd (0.000, 0.000, 0.000)
Ge (0.722, 0.722, 0.834)
Ge (0.278, 0.278, 0.166)
Ba (0.500, 0.500, 0.500)


No. 2
A relaxed RbBTe2N crystal, computed with PBE.

Summary:
Formation energy without anion corrections ... 2.62 eV per atom
Excess energy over the best structure of this formula in the dataset ... 2.733 eV/atom

Unit cell a=6.440 b=6.440 c=4.304 alpha=90.00 beta=90.00 gamma=90.00
Sites, in units of the cell vectors:
Te (0.500, 0.000, 0.000)
Te (0.000, 0.500, 0.000)
N (0.000, 0.000, 0.500)
B (0.500, 0.500, 0.500)
Rb (0.000, 0.000, 0.000)


No. 3
A relaxed SmLuZnAg crystal, computed with PBE.

Summary:
Calculated formation energy ... -309 meV/atom

Unit cell a=5.102 b=5.102 c=5.102 alpha=60.00 beta=60.00 gamma=60.00
Sites, in units of the cell vectors:
Zn (0.750, 0.750, 0.750)
Lu (0.500, 0.500, 0.500)
Ag (0.250, 0.250, 0.250)
Sm (0.000, 0.000, 0.000)


No. 4
A relaxed Dy3Tm2UN6 crystal, computed with PBE.

Summary:
Formation energy without anion corrections ... -1.71 eV per atom

Unit cell a=5.944 b=5.944 c=5.956 alpha=99.55 beta=99.55 gamma=119.99
Sites, in units of the cell vectors:
Dy (0.500, 0.500, 0.500)
Dy (0.832, 0.168, 0.500)
Dy (0.168, 0.832, 0.500)
Tm (0.666, 0.334, 0.000)
Tm (0.334, 0.666, 0.000)
U (0.000, 0.000, 0.000)
N (0.759, 0.759, 0.235)
N (0.921, 0.601, 0.762)
N (0.399, 0.079, 0.238)
N (0.601, 0.921, 0.762)
N (0.079, 0.399, 0.238)
N (0.241, 0.241, 0.765)


No. 5
A relaxed NaIrRu crystal, computed with PBE.

Summary:
Calculated formation energy ... 598 meV/atom
Excess energy over the best structure of this formula in the dataset ... 0.265 eV/atom

Unit cell a=5.342 b=4.454 c=8.117 alpha=90.00 beta=90.00 gamma=90.00
Sites, in units of the cell vectors:
Ru (0.601, 0.750, 0.343)
Ru (0.399, 0.250, 0.657)
Ru (0.899, 0.250, 0.843)
Ru (0.101, 0.750, 0.157)
Na (0.884, 0.250, 0.498)
Na (0.384, 0.250, 0.002)
Na (0.616, 0.750, 0.998)
Na (0.116, 0.750, 0.502)
Ir (0.108, 0.750, 0.846)
Ir (0.608, 0.750, 0.654)
Ir (0.892, 0.250, 0.154)
Ir (0.392, 0.250, 0.346)


No. 6
A relaxed TlHgPb2 crystal, computed with PBE.

Summary:
Calculated formation energy ... 34 meV/atom

Unit cell a=3.600 b=3.600 c=10.902 alpha=80.50 beta=80.50 gamma=60.00
Sites, in units of the cell vectors:
Pb (0.254, 0.254, 0.237)
Pb (0.079, 0.079, 0.762)
Hg (0.666, 0.666, 0.002)
Tl (0.500, 0.500, 0.500)


No. 7
A relaxed PuCdBr4 crystal, computed with PBE.

Summary:
Formation energy without anion corrections ... -1.13 eV per atom

Unit cell a=4.260 b=6.714 c=7.651 alpha=89.73 beta=90.00 gamma=90.00
Sites, in units of the cell vectors:
Pu (0.500, 0.000, 0.500)
Br (0.500, 0.776, 0.166)
Br (0.000, 0.764, 0.673)
Br (0.500, 0.224, 0.834)
Br (0.000, 0.236, 0.327)
Cd (0.000, 0.000, 0.000)


No. 8
A relaxed GaTeSe2 crystal, computed with PBE.

Summary:
Formation energy without anion corrections ... -0.28 eV per atom
Excess energy over the best structure of this formula in the dataset ... 0.045 eV/atom

Unit cell a=7.475 b=3.628 c=19.217 alpha=90.00 beta=102.07 gamma=90.00
Sites, in units of the cell vectors:
Te (0.790, 0.500, 0.730)
Te (0.790, 0.000, 0.230)
Te (0.676, 0.000, 0.364)
Te (0.676, 0.500, 0.864)
Se (0.035, 0.500, 0.922)
Se (0.837, 0.000, 0.077)
Se (0.357, 0.000, 0.593)
Se (0.837, 0.500, 0.577)
Se (0.035, 0.000, 0.422)
Se (0.357, 0.500, 0.093)
Se (0.304, 0.500, 0.784)
Se (0.304, 0.000, 0.284)
Ga (0.422, 0.000, 0.180)
Ga (0.422, 0.500, 0.680)
Ga (0.017, 0.500, 0.047)
Ga (0.017, 0.000, 0.547)


Calculated volume, respectively: 126 178 94 172 193 120 219 510 Å³/cell.
DOS at the Fermi energy, respectively: 1.3066 1.6213 0.7515 0.3976 1.1369 0.4620 2.2908 0.3111 states/eV/atom.